Record 1
Compound: Zr3Mn2Ga6
Source: Alexandria
Functional: GGA-PBE
Structure: optimized geometry

Cell and atoms, written as CIF:
```
data_Zr3Mn2Ga6
_cell_length_a 5.4237
_cell_length_b 7.7399
_cell_length_c 8.7829
_cell_angle_alpha 90.00
_cell_angle_beta 90.00
_cell_angle_gamma 90.00
_symmetry_space_group_name_H-M 'P 1'
_symmetry_Int_Tables_number 1
loop_
_symmetry_equiv_pos_as_xyz
'x,y,z'
loop_
_atom_site_label
_atom_site_fract_x
_atom_site_fract_y
_atom_site_fract_z
Zr1 0.5000 0.1524 0.7798
Zr2 0.5000 0.1524 0.2202
Zr3 0.0000 0.8476 0.7202
Zr4 0.0000 0.8476 0.2798
Zr5 0.5000 0.7218 0.5000
Zr6 0.0000 0.2782 0.0000
Mn1 0.2500 0.5000 0.2500
Mn2 0.2500 0.5000 0.7500
Mn3 0.7500 0.5000 0.2500
Mn4 0.7500 0.5000 0.7500
Ga1 0.5000 0.7630 0.1862
Ga2 0.5000 0.7630 0.8138
Ga3 0.0000 0.2370 0.3138
Ga4 0.0000 0.2370 0.6862
Ga5 0.5000 0.3692 0.5000
Ga6 0.0000 0.6308 0.0000
Ga7 0.0000 0.5637 0.5000
Ga8 0.5000 0.4363 0.0000
Ga9 0.2595 0.0439 0.5000
Ga10 0.7405 0.0439 0.5000
Ga11 0.2405 0.9561 0.0000
Ga12 0.7595 0.9561 0.0000
```

Its space-group type is Pmmn. As for the raw total energy: -134.6 eV/cell.

***

Record 2
Compound: ZrMnGa
Source: Alexandria
Functional: GGA-PBE
Structure: optimized geometry

Cell and atoms, written as CIF:
```
data_ZrMnGa
_cell_length_a 5.1168
_cell_length_b 5.1168
_cell_length_c 8.4536
_cell_angle_alpha 90.00
_cell_angle_beta 90.00
_cell_angle_gamma 118.59
_symmetry_space_group_name_H-M 'P 1'
_symmetry_Int_Tables_number 1
loop_
_symmetry_equiv_pos_as_xyz
'x,y,z'
loop_
_atom_site_label
_atom_site_fract_x
_atom_site_fract_y
_atom_site_fract_z
Zr1 0.3338 0.6662 0.1914
Zr2 0.6666 0.3334 0.3221
Zr3 0.6666 0.3334 0.6779
Zr4 0.3338 0.6662 0.8086
Mn1 0.8368 0.1632 0.0000
Mn2 0.1687 0.3574 0.5000
Mn3 0.6426 0.8313 0.5000
Mn4 0.1776 0.8224 0.5000
Ga1 0.9958 0.0042 0.2639
Ga2 0.9958 0.0042 0.7361
Ga3 0.8322 0.6517 0.0000
Ga4 0.3483 0.1678 0.0000
```

Its space-group type is Amm2. As for the raw total energy: -87.3 eV/cell.

***

Record 3
Compound: Zr6MnGa10
Source: Alexandria
Functional: GGA-PBE
Structure: optimized geometry

Cell and atoms, written as CIF:
```
data_Zr6MnGa10
_cell_length_a 5.5198
_cell_length_b 8.1021
_cell_length_c 8.1021
_cell_angle_alpha 120.00
_cell_angle_beta 90.00
_cell_angle_gamma 90.00
_symmetry_space_group_name_H-M 'P 1'
_symmetry_Int_Tables_number 1
loop_
_symmetry_equiv_pos_as_xyz
'x,y,z'
loop_
_atom_site_label
_atom_site_fract_x
_atom_site_fract_y
_atom_site_fract_z
Zr1 0.7329 0.3885 0.3885
Zr2 0.7329 0.0000 0.6115
Zr3 0.7329 0.6115 0.0000
Zr4 0.2671 0.6115 0.6115
Zr5 0.2671 0.0000 0.3885
Zr6 0.2671 0.3885 0.0000
Mn1 0.5000 0.0000 0.0000
Ga1 0.7919 0.7615 0.7615
Ga2 0.7919 0.0000 0.2385
Ga3 0.7919 0.2385 0.0000
Ga4 0.2081 0.2385 0.2385
Ga5 0.2081 0.0000 0.7615
Ga6 0.2081 0.7615 0.0000
Ga7 0.5000 0.3333 0.6667
Ga8 0.5000 0.6667 0.3333
Ga9 0.0000 0.6667 0.3333
Ga10 0.0000 0.3333 0.6667
```

Its space-group type is P-31m. As for the raw total energy: -96.9 eV/cell.

***

Record 4
Compound: ZrMnGa
Source: Alexandria
Functional: GGA-PBE
Structure: optimized geometry

Cell and atoms, written as CIF:
```
data_ZrMnGa
_cell_length_a 3.1833
_cell_length_b 4.3607
_cell_length_c 4.3607
_cell_angle_alpha 120.00
_cell_angle_beta 90.00
_cell_angle_gamma 90.00
_symmetry_space_group_name_H-M 'P 1'
_symmetry_Int_Tables_number 1
loop_
_symmetry_equiv_pos_as_xyz
'x,y,z'
loop_
_atom_site_label
_atom_site_fract_x
_atom_site_fract_y
_atom_site_fract_z
Mn1 0.1667 0.3333 0.6667
Ga1 0.1667 0.0000 0.0000
Zr1 0.6666 0.6667 0.3333
```

Its space-group type is P-6m2. As for the raw total energy: -21.4 eV/cell.

***

Record 5
Compound: ZrMnGa
Source: Alexandria
Functional: GGA-PBE
Structure: optimized geometry

Cell and atoms, written as CIF:
```
data_ZrMnGa
_cell_length_a 5.1630
_cell_length_b 5.1443
_cell_length_c 5.1443
_cell_angle_alpha 61.44
_cell_angle_beta 59.88
_cell_angle_gamma 59.88
_symmetry_space_group_name_H-M 'P 1'
_symmetry_Int_Tables_number 1
loop_
_symmetry_equiv_pos_as_xyz
'x,y,z'
loop_
_atom_site_label
_atom_site_fract_x
_atom_site_fract_y
_atom_site_fract_z
Zr1 0.8839 0.3661 0.3661
Zr2 0.1161 0.6339 0.6339
Mn1 0.0000 0.0000 0.0000
Mn2 0.5000 0.0000 0.0000
Ga1 0.5000 0.5000 0.0000
Ga2 0.5000 0.0000 0.5000
```

Its space-group type is Imma. As for the raw total energy: -43.7 eV/cell.

***

Record 6
Compound: ZrMn5Ga
Source: Alexandria
Functional: GGA-PBE
Structure: optimized geometry

Cell and atoms, written as CIF:
```
data_ZrMn5Ga
_cell_length_a 4.6911
_cell_length_b 7.9434
_cell_length_c 10.0120
_cell_angle_alpha 90.00
_cell_angle_beta 90.00
_cell_angle_gamma 90.00
_symmetry_space_group_name_H-M 'P 1'
_symmetry_Int_Tables_number 1
loop_
_symmetry_equiv_pos_as_xyz
'x,y,z'
loop_
_atom_site_label
_atom_site_fract_x
_atom_site_fract_y
_atom_site_fract_z
Zr1 0.2500 0.2387 0.9409
Zr2 0.7500 0.2613 0.4409
Zr3 0.2500 0.7387 0.5591
Zr4 0.7500 0.7613 0.0591
Mn1 0.2500 0.5890 0.0319
Mn2 0.7500 0.9110 0.5319
Mn3 0.2500 0.0890 0.4681
Mn4 0.7500 0.4110 0.9681
Mn5 0.7500 0.3082 0.7495
Mn6 0.2500 0.1918 0.2495
Mn7 0.7500 0.8082 0.7505
Mn8 0.2500 0.6918 0.2505
Mn9 0.2500 0.9479 0.1032
Mn10 0.7500 0.5521 0.6032
Mn11 0.2500 0.4479 0.3968
Mn12 0.7500 0.0521 0.8968
Mn13 0.9811 0.4296 0.1866
Mn14 0.0189 0.0704 0.6866
Mn15 0.5189 0.9296 0.3134
Mn16 0.4811 0.5704 0.8134
Mn17 0.0189 0.5704 0.8134
Mn18 0.9811 0.9296 0.3134
Mn19 0.4811 0.0704 0.6866
Mn20 0.5189 0.4296 0.1866
Ga1 0.2500 0.8656 0.8595
Ga2 0.7500 0.6344 0.3595
Ga3 0.2500 0.3656 0.6405
Ga4 0.7500 0.1344 0.1405
```

Its space-group type is Pnma. As for the raw total energy: -232.8 eV/cell.

***

Record 7
Compound: Zr2Mn3Ga
Source: Alexandria
Functional: GGA-PBE
Structure: optimized geometry

Cell and atoms, written as CIF:
```
data_Zr2Mn3Ga
_cell_length_a 4.9360
_cell_length_b 4.9360
_cell_length_c 5.1009
_cell_angle_alpha 90.06
_cell_angle_beta 118.95
_cell_angle_gamma 119.91
_symmetry_space_group_name_H-M 'P 1'
_symmetry_Int_Tables_number 1
loop_
_symmetry_equiv_pos_as_xyz
'x,y,z'
loop_
_atom_site_label
_atom_site_fract_x
_atom_site_fract_y
_atom_site_fract_z
Zr1 0.7604 0.3804 0.1409
Zr2 0.2396 0.6196 0.8591
Mn1 0.5000 0.5000 0.5000
Mn2 0.0000 0.0000 0.5000
Mn3 0.5000 0.0000 0.5000
Ga1 0.0000 0.0000 0.0000
```

Its space-group type is C2/m. As for the raw total energy: -49.2 eV/cell.

***

Record 8
Compound: Zr2MnGa2
Source: Alexandria
Functional: GGA-PBE
Structure: optimized geometry

Cell and atoms, written as CIF:
```
data_Zr2MnGa2
_cell_length_a 6.7644
_cell_length_b 6.7644
_cell_length_c 3.9925
_cell_angle_alpha 90.00
_cell_angle_beta 90.00
_cell_angle_gamma 90.00
_symmetry_space_group_name_H-M 'P 1'
_symmetry_Int_Tables_number 1
loop_
_symmetry_equiv_pos_as_xyz
'x,y,z'
loop_
_atom_site_label
_atom_site_fract_x
_atom_site_fract_y
_atom_site_fract_z
Mn1 0.0000 0.0000 0.0000
Mn2 0.5000 0.5000 0.0000
Ga1 0.3661 0.8661 0.0000
Ga2 0.8661 0.6339 0.0000
Ga3 0.6339 0.1339 0.0000
Ga4 0.1339 0.3661 0.0000
Zr1 0.1716 0.6716 0.5000
Zr2 0.6716 0.8284 0.5000
Zr3 0.8284 0.3284 0.5000
Zr4 0.3284 0.1716 0.5000
```

The value obtained for the energy above the most stable polymorph in this dataset is 0.0000 eV per atom. Its space-group type is P4/mbm.

***

Record 9
Compound: Ga3Mo
Source: Alexandria
Functional: GGA-PBE
Structure: optimized geometry

Cell and atoms, written as CIF:
```
data_Ga3Mo
_cell_length_a 2.8111
_cell_length_b 4.7118
_cell_length_c 4.7956
_cell_angle_alpha 90.00
_cell_angle_beta 90.00
_cell_angle_gamma 90.00
_symmetry_space_group_name_H-M 'P 1'
_symmetry_Int_Tables_number 1
loop_
_symmetry_equiv_pos_as_xyz
'x,y,z'
loop_
_atom_site_label
_atom_site_fract_x
_atom_site_fract_y
_atom_site_fract_z
Mo1 0.0000 0.0000 0.0135
Ga1 0.0000 0.5000 0.3193
Ga2 0.5000 0.0000 0.5056
Ga3 0.5000 0.5000 0.8282
```

The value obtained for the energy above the most stable polymorph in this dataset is 0.0460 eV per atom. Its space-group type is Pmm2.

***

Record 10
Compound: Ga13Mo2
Source: Alexandria
Functional: GGA-PBE
Structure: optimized geometry

Cell and atoms, written as CIF:
```
data_Ga13Mo2
_cell_length_a 5.2272
_cell_length_b 6.7001
_cell_length_c 7.9730
_cell_angle_alpha 105.29
_cell_angle_beta 88.19
_cell_angle_gamma 100.38
_symmetry_space_group_name_H-M 'P 1'
_symmetry_Int_Tables_number 1
loop_
_symmetry_equiv_pos_as_xyz
'x,y,z'
loop_
_atom_site_label
_atom_site_fract_x
_atom_site_fract_y
_atom_site_fract_z
Ga1 0.7755 0.6083 0.0613
Ga2 0.2245 0.3917 0.9387
Ga3 0.0000 0.0000 0.0000
Ga4 0.2983 0.9255 0.5814
Ga5 0.7017 0.0745 0.4186
Ga6 0.0156 0.5039 0.6649
Ga7 0.9844 0.4961 0.3351
Ga8 0.4995 0.5690 0.3621
Ga9 0.5005 0.4310 0.6379
Ga10 0.4570 0.8010 0.8683
Ga11 0.5430 0.1990 0.1317
Ga12 0.7275 0.2029 0.8177
Ga13 0.2725 0.7971 0.1823
Mo1 0.8006 0.8245 0.6254
Mo2 0.1994 0.1755 0.3746
```

Its space-group type is P-1. As for the raw total energy: -60.2 eV/cell.

***

Record 11
Compound: GaMo5
Source: Alexandria
Functional: GGA-PBE
Structure: optimized geometry

Cell and atoms, written as CIF:
```
data_GaMo5
_cell_length_a 3.2423
_cell_length_b 4.3793
_cell_length_c 6.9741
_cell_angle_alpha 108.30
_cell_angle_beta 90.00
_cell_angle_gamma 90.00
_symmetry_space_group_name_H-M 'P 1'
_symmetry_Int_Tables_number 1
loop_
_symmetry_equiv_pos_as_xyz
'x,y,z'
loop_
_atom_site_label
_atom_site_fract_x
_atom_site_fract_y
_atom_site_fract_z
Mo1 0.0000 0.6637 0.3274
Mo2 0.0000 0.3363 0.6726
Mo3 0.5000 0.5000 0.0000
Mo4 0.5000 0.1686 0.3373
Mo5 0.5000 0.8314 0.6627
Ga1 0.0000 0.0000 0.0000
```

Its space-group type is Cmmm. As for the raw total energy: -57.0 eV/cell.

***

Record 12
Compound: Ga3Mo
Source: Alexandria
Functional: GGA-PBE
Structure: optimized geometry

Cell and atoms, written as CIF:
```
data_Ga3Mo
_cell_length_a 3.8141
_cell_length_b 3.8141
_cell_length_c 5.0332
_cell_angle_alpha 112.26
_cell_angle_beta 112.26
_cell_angle_gamma 90.00
_symmetry_space_group_name_H-M 'P 1'
_symmetry_Int_Tables_number 1
loop_
_symmetry_equiv_pos_as_xyz
'x,y,z'
loop_
_atom_site_label
_atom_site_fract_x
_atom_site_fract_y
_atom_site_fract_z
Mo1 0.0000 0.0000 0.0000
Ga1 0.7500 0.2500 0.5000
Ga2 0.2500 0.7500 0.5000
Ga3 0.5000 0.5000 0.0000
```

The value obtained for the energy above the most stable polymorph in this dataset is 0.0000 eV per atom. Its space-group type is I4/mmm.